# La12Y5Er2

An optimized crystal structure of La12Y5Er2 (PBE, Alexandria).

Unit cell a=13.528 b=13.528 c=13.528 alpha=157.39 beta=134.01 gamma=51.83
Atoms (fractional coordinates):
La1 0.049 0.805 0.244
La2 0.085 0.085 0.000
La3 0.150 0.407 0.742
La4 0.335 0.593 0.742
La5 0.398 0.898 0.500
La6 0.438 0.195 0.244
La7 0.562 0.805 0.756
La8 0.602 0.102 0.500
La9 0.665 0.407 0.258
La10 0.850 0.593 0.258
La11 0.915 0.915 0.000
La12 0.951 0.195 0.756
Y1 0.199 0.699 0.500
Y2 0.301 0.301 0.000
Y3 0.500 0.500 0.000
Y4 0.699 0.699 0.000
Y5 0.801 0.301 0.500
Er1 0.282 0.000 0.282
Er2 0.718 0.000 0.718

Values from the calculation:
energy of formation from the pure elements = 1.8 eV/f.u.
energy above the lowest structure with this stoichiometry = 0.00 eV/f.u.
SG = Immm (71)

=====

# La7Y2Er

An optimized crystal structure of La7Y2Er (PBE, Alexandria).

Unit cell a=15.129 b=15.129 c=3.520 alpha=90.00 beta=90.00 gamma=153.97
Atoms (fractional coordinates):
La1 0.000 0.000 0.000
La2 0.162 0.361 0.000
La3 0.308 0.692 0.500
La4 0.361 0.162 0.000
La5 0.639 0.838 0.000
La6 0.692 0.308 0.500
La7 0.838 0.639 0.000
Y1 0.204 0.796 0.000
Y2 0.796 0.204 0.000
Er1 0.500 0.500 0.500

Values from the calculation:
energy of formation from the pure elements = 1.5 eV/f.u.
energy above the lowest structure with this stoichiometry = 0.00 eV/f.u.
SG = Cmmm (65)

=====

# La7Y16Er6

An optimized crystal structure of La7Y16Er6 (PBE, Alexandria).

Unit cell a=11.137 b=11.137 c=11.137 alpha=60.00 beta=60.00 gamma=60.00
Atoms (fractional coordinates):
La1 0.000 0.000 0.000
La2 0.000 0.000 0.500
La3 0.000 0.500 0.000
La4 0.000 0.500 0.500
La5 0.500 0.000 0.000
La6 0.500 0.000 0.500
La7 0.500 0.500 0.000
Y1 0.150 0.150 0.150
Y2 0.150 0.150 0.550
Y3 0.150 0.550 0.150
Y4 0.166 0.611 0.611
Y5 0.389 0.389 0.389
Y6 0.389 0.389 0.834
Y7 0.389 0.834 0.389
Y8 0.450 0.850 0.850
Y9 0.550 0.150 0.150
Y10 0.611 0.166 0.611
Y11 0.611 0.611 0.166
Y12 0.611 0.611 0.611
Y13 0.834 0.389 0.389
Y14 0.850 0.450 0.850
Y15 0.850 0.850 0.450
Y16 0.850 0.850 0.850
Er1 0.226 0.226 0.774
Er2 0.226 0.774 0.226
Er3 0.226 0.774 0.774
Er4 0.774 0.226 0.226
Er5 0.774 0.226 0.774
Er6 0.774 0.774 0.226

Values from the calculation:
energy of formation from the pure elements = 5.7 eV/f.u.
SG = Fm-3m (225)

=====

# LaY12Er7

An optimized crystal structure of LaY12Er7 (PBE, Alexandria).

Unit cell a=8.725 b=8.725 c=8.725 alpha=87.68 beta=87.68 gamma=87.68
Atoms (fractional coordinates):
La1 0.000 0.000 0.000
Y1 0.108 0.436 0.345
Y2 0.234 0.355 0.766
Y3 0.234 0.766 0.645
Y4 0.345 0.108 0.436
Y5 0.355 0.766 0.234
Y6 0.436 0.345 0.108
Y7 0.564 0.655 0.892
Y8 0.645 0.234 0.766
Y9 0.655 0.892 0.564
Y10 0.766 0.234 0.355
Y11 0.766 0.645 0.234
Y12 0.892 0.564 0.655
Er1 0.002 0.878 0.368
Er2 0.122 0.632 0.998
Er3 0.368 0.002 0.878
Er4 0.500 0.500 0.500
Er5 0.632 0.998 0.122
Er6 0.878 0.368 0.002
Er7 0.998 0.122 0.632

Values from the calculation:
energy of formation from the pure elements = 4.5 eV/f.u.
energy above the lowest structure with this stoichiometry = 0.00 eV/f.u.
SG = R-3 (148)

=====

# La6Y12Er

An optimized crystal structure of La6Y12Er (PBE, Alexandria).

Unit cell a=8.863 b=8.863 c=8.863 alpha=99.10 beta=99.10 gamma=99.10
Atoms (fractional coordinates):
La1 0.157 0.595 0.595
La2 0.405 0.405 0.843
La3 0.405 0.843 0.405
La4 0.595 0.157 0.595
La5 0.595 0.595 0.157
La6 0.843 0.405 0.405
Y1 0.000 0.255 0.745
Y2 0.000 0.745 0.255
Y3 0.148 0.148 0.420
Y4 0.148 0.420 0.148
Y5 0.255 0.000 0.745
Y6 0.255 0.745 0.000
Y7 0.420 0.148 0.148
Y8 0.580 0.852 0.852
Y9 0.745 0.000 0.255
Y10 0.745 0.255 0.000
Y11 0.852 0.580 0.852
Y12 0.852 0.852 0.580
Er1 0.500 0.500 0.500

Values from the calculation:
energy of formation from the pure elements = 4.0 eV/f.u.
energy above the lowest structure with this stoichiometry = 1.57 eV/f.u.
SG = R-3m (166)

=====

# La14YEr

An optimized crystal structure of La14YEr (PBE, Alexandria).

Unit cell a=7.389 b=7.389 c=10.515 alpha=90.00 beta=90.00 gamma=90.00
Atoms (fractional coordinates):
La1 0.000 0.000 0.000
La2 0.000 0.500 0.000
La3 0.000 0.500 0.500
La4 0.249 0.249 0.251
La5 0.249 0.249 0.749
La6 0.249 0.751 0.251
La7 0.249 0.751 0.749
La8 0.500 0.000 0.000
La9 0.500 0.000 0.500
La10 0.500 0.500 0.000
La11 0.751 0.249 0.251
La12 0.751 0.249 0.749
La13 0.751 0.751 0.251
La14 0.751 0.751 0.749
Y1 0.500 0.500 0.500
Er1 0.000 0.000 0.500

Values from the calculation:
energy of formation from the pure elements = 0.1 eV/f.u.
SG = P4/mmm (123)

=====

# LaYEr2

An optimized crystal structure of LaYEr2 (PBE, Alexandria).

Unit cell a=11.814 b=11.814 c=11.814 alpha=17.48 beta=17.48 gamma=17.48
Atoms (fractional coordinates):
La1 0.000 0.000 0.000
Y1 0.500 0.500 0.500
Er1 0.248 0.248 0.248
Er2 0.752 0.752 0.752

Values from the calculation:
energy of formation from the pure elements = 0.1 eV/f.u.
energy above the lowest structure with this stoichiometry = 0.06 eV/f.u.
SG = R-3m (166)

=====

# LaY3Er5

An optimized crystal structure of LaY3Er5 (PBE, Alexandria).

Unit cell a=9.802 b=9.802 c=9.802 alpha=127.43 beta=127.43 gamma=77.55
Atoms (fractional coordinates):
La1 0.250 0.750 0.500
La2 0.750 0.250 0.500
Y1 0.119 0.619 0.738
Y2 0.250 0.250 0.000
Y3 0.381 0.119 0.500
Y4 0.619 0.881 0.500
Y5 0.750 0.750 0.000
Y6 0.881 0.381 0.262
Er1 0.000 0.000 0.000
Er2 0.066 0.161 0.500
Er3 0.161 0.661 0.096
Er4 0.339 0.434 0.500
Er5 0.434 0.934 0.096
Er6 0.500 0.500 0.000
Er7 0.566 0.066 0.904
Er8 0.661 0.566 0.500
Er9 0.839 0.339 0.904
Er10 0.934 0.839 0.500

Values from the calculation:
energy of formation from the pure elements = 2.5 eV/f.u.
energy above the lowest structure with this stoichiometry = 0.00 eV/f.u.
SG = I4/mcm (140)

=====

no.,energy (Ry per atom)
1,-0.382
2,-0.371
3,-0.404
4,-0.404
5,-0.417
6,-0.367
7,-0.375
8,-0.364